Entry 1:
## LiNbIn3 (PBE)

Data for a geometry-optimized LiNbIn3 structure.

a b c (Å): 4.7885 4.7885 4.7885
angles (deg): 90.00 90.00 90.00
With the nearest neighbours (Å) after each atom.
Fractional coordinates of all 5 atoms:
Li (0.0000, 0.0000, 0.0000)  6 In 2.39
Nb (0.5000, 0.5000, 0.5000)  12 In 3.39
In (0.0000, 0.0000, 0.5000)  2 Li 2.39
In (0.0000, 0.5000, 0.0000)  2 Li 2.39
In (0.5000, 0.0000, 0.0000)  2 Li 2.39

## Properties
- ρ: 6.72 Mg/m³
- SG: Pm-3m (221)
- Energy: -3.361 eV per atom
- Size of the total moment: 2.0 μB per cell
- ΔE to the lowest computed polymorph: 0.248 eV per atom



Entry 2:
## TlGaAgPt (PBE)

Data for a geometry-optimized TlGaAgPt structure.

a b c (Å): 2.9005 4.1730 7.3949
angles (deg): 97.25 100.99 90.01
With the nearest neighbours (Å) after each atom.
Fractional coordinates of all 4 atoms:
Tl (0.0000, 0.0000, 0.0000)  1 Pt 2.85, 2 Tl 2.90, 4 Ag 3.08-3.10
Ga (0.7122, 0.5954, 0.4233)  4 Pt 2.53-2.56
Ag (0.3790, 0.4476, 0.7558)  1 Pt 2.84, 2 Ag 2.90, 2 Ga 2.94-2.96, 4 Tl 3.08-3.10
Pt (0.1988, 0.0855, 0.3961)  4 Ga 2.53-2.56

## Properties
- ρ: 11.00 Mg/m³
- SG: P1 (1)
- Energy: -3.698 eV per atom
- Size of the total moment: 0.0 μB per cell
- ΔE to the lowest computed polymorph: 0.038 eV per atom



Entry 3:
## TePb2 (PBE)

Data for a geometry-optimized TePb2 structure.

a b c (Å): 4.1910 4.1910 6.7012
angles (deg): 90.00 90.00 120.00
With the nearest neighbours (Å) after each atom.
Fractional coordinates of all 3 atoms:
Te (0.0000, 0.0000, 0.0000)  6 Pb 3.20
Pb (0.3333, 0.6667, 0.3125)  3 Te 3.20, 3 Pb 3.49
Pb (0.6667, 0.3333, 0.6875)  3 Te 3.20, 3 Pb 3.49

## Properties
- ρ: 8.83 Mg/m³
- SG: P-3m1 (164)
- Energy: -3.593 eV per atom
- Size of the total moment: 0.0 μB per cell
- Energy relative to the elements, uncorrected: -0.074 eV per atom
- ΔE to the lowest computed polymorph: 0.064 eV per atom



Entry 4:
## V2Re3Mo2 (PBE)

Data for a geometry-optimized V2Re3Mo2 structure.

a b c (Å): 4.9388 4.9388 8.8048
angles (deg): 119.61 119.61 35.84
With the nearest neighbours (Å) after each atom.
Fractional coordinates of all 7 atoms:
V (0.0000, 0.0000, 0.0000)  4 Mo 2.59-2.68, 4 Re 2.60-2.63
V (0.1015, 0.1015, 0.4063)  3 Re 2.49-2.61, 4 Mo 2.62-2.73
Re (0.2852, 0.2852, 0.7363)  3 V 2.49-2.63, 2 Re 2.72
Re (0.4587, 0.4587, 0.5294)  1 Re 2.56, 2 V 2.61, 2 Mo 2.67
Re (0.6348, 0.6348, 0.8696)  4 Re 2.56-2.86, 2 V 2.60, 2 Mo 2.68
Mo (0.3673, 0.3673, 0.1324)  4 V 2.59-2.73, 2 Mo 2.63, 2 Re 2.68
Mo (0.7298, 0.7298, 0.2651)  4 V 2.62-2.68, 2 Mo 2.63, 2 Re 2.67

## Properties
- ρ: 13.17 Mg/m³
- SG: Cm (8)
- Energy: -10.854 eV per atom
- Size of the total moment: 0.0 μB per cell